No. 1
## Be2CdAs2 (PBE)

Data for an optimized crystal structure of Be2CdAs2.

Output
Formation enthalpy at 0 K (eV per atom): 0.01
Density of states at the Fermi level (states/eV/atom): 0.079

Unit cell a=10.2666 b=3.8229 c=8.7752 alpha=90.00 beta=90.00 gamma=90.00
Space group Pnma (No. 62)
Unique sites:
1 Be 0.0344 0.2500 0.0843
2 Be 0.0963 0.2500 0.5537
3 Cd 0.2090 0.7500 0.3546
4 As 0.0344 0.7500 0.6712
5 As 0.1616 0.7500 0.0540

No. 2
## BeCdAs3 (PBE)

Data for an optimized crystal structure of BeCdAs3.

Output
Formation enthalpy at 0 K (eV per atom): 1.46
Energy above the lowest structure with this stoichiometry (eV/atom): 0.989
Density of states at the Fermi level (states/eV/atom): 0.804

Unit cell a=5.1176 b=5.1176 c=5.1176 alpha=90.00 beta=90.00 gamma=90.00
Space group Pm-3m (No. 221)
Unique sites:
1 Be 0.0000 0.0000 0.0000
2 Cd 0.5000 0.5000 0.5000
3 As 0.0000 0.5000 0.5000

No. 3
## Be3CdAs (PBE)

Data for an optimized crystal structure of Be3CdAs.

Output
Formation enthalpy at 0 K (eV per atom): 1.20
Energy above the lowest structure with this stoichiometry (eV/atom): 0.384
Density of states at the Fermi level (states/eV/atom): 0.466

Unit cell a=4.4360 b=4.4360 c=4.4360 alpha=90.00 beta=90.00 gamma=90.00
Space group Pm-3m (No. 221)
Unique sites:
1 Be 0.0000 0.0000 0.5000
2 Cd 0.0000 0.0000 0.0000
3 As 0.5000 0.5000 0.5000

No. 4
## BeCdAs4 (PBE)

Data for an optimized crystal structure of BeCdAs4.

Output
Formation enthalpy at 0 K (eV per atom): 0.64
Density of states at the Fermi level (states/eV/atom): 0.423

Unit cell a=7.8729 b=7.8729 c=7.8729 alpha=90.00 beta=90.00 gamma=90.00
Space group F-43m (No. 216)
Unique sites:
1 Be 0.0000 0.0000 0.0000
2 Cd 0.2500 0.2500 0.2500
3 As 0.1259 0.1259 0.6259

no.,energy (eV/atom)
1,-3.525
2,-2.257
3,-2.153
4,-3.231